(1)
Material: ZnRuBr2
Method: DFT, PBE
State: optimized geometry

```
data_ZnRuBr2
_cell_length_a 6.5126
_cell_length_b 3.7614
_cell_length_c 9.4885
_cell_angle_alpha 90.00
_cell_angle_beta 102.89
_cell_angle_gamma 90.00
_space_group_name_H-M_alt 'C 1 2/m 1'
_space_group_IT_number 12
loop_
_space_group_symop_operation_xyz
'x,y,z'
'-x,-y,-z'
'-x,y,-z'
'x,-y,z'
'x+1/2,y+1/2,z'
'-x+1/2,-y+1/2,-z'
'-x+1/2,y+1/2,-z'
'x+1/2,-y+1/2,z'
loop_
_atom_site_label
_atom_site_type_symbol
_atom_site_fract_x
_atom_site_fract_y
_atom_site_fract_z
_atom_site_occupancy
Zn1 Zn 0.0000 0.0000 0.0000 1
Ru1 Ru 0.0000 0.5000 0.5000 1
Br1 Br 0.2132 0.0000 0.6433 1
```

Values from the calculation:
* magnetization: 0.0 μB per formula unit
* excess energy over the best structure of this formula in the dataset: 0.232 eV/atom
* crystal system: monoclinic
* calculated total energy: -3.2890 eV/atom


(2)
Material: AcMgCuPd
Method: DFT, PBE
State: optimized geometry

```
data_AcMgCuPd
_cell_length_a 4.5875
_cell_length_b 4.5875
_cell_length_c 15.3544
_cell_angle_alpha 90.00
_cell_angle_beta 90.00
_cell_angle_gamma 120.00
_space_group_name_H-M_alt 'R 3 m'
_space_group_IT_number 160
_space_group_name_Hall 'R 3 -2"'
loop_
_atom_site_label
_atom_site_type_symbol
_atom_site_fract_x
_atom_site_fract_y
_atom_site_fract_z
_atom_site_occupancy
Ac1 Ac 0.0000 0.0000 0.0000 1
Mg1 Mg 0.0000 0.0000 0.4978 1
Cu1 Cu 0.0000 0.0000 0.2030 1
Pd1 Pd 0.0000 0.0000 0.7955 1
```

Values from the calculation:
* magnetization: 0.0 μB per formula unit
* formation energy from the elements: -1.88 eV per formula unit
* excess energy over the best structure of this formula in the dataset: 0.000 eV/atom
* crystal system: trigonal
* calculated total energy: -4.2185 eV/atom
* N(E_F): 7.048 states/eV/cell


(3)
Material: Sr4Ho3CuS8
Method: DFT, PBE
State: optimized geometry

```
data_Sr4Ho3CuS8
_cell_length_a 8.0639
_cell_length_b 8.0639
_cell_length_c 20.0304
_cell_angle_alpha 90.00
_cell_angle_beta 90.00
_cell_angle_gamma 120.00
_space_group_name_H-M_alt 'R -3 m'
_space_group_IT_number 166
_space_group_name_Hall '-R 3 2"'
loop_
_atom_site_label
_atom_site_type_symbol
_atom_site_fract_x
_atom_site_fract_y
_atom_site_fract_z
_atom_site_occupancy
Sr1 Sr 0.0000 0.0000 0.0000 1
Sr2 Sr 0.0000 0.5000 0.0000 1
Ho1 Ho 0.0000 0.5000 0.5000 1
Cu1 Cu 0.0000 0.0000 0.5000 1
S1 S 0.0000 0.0000 0.2424 1
S2 S 0.0005 0.5002 0.2411 1
```

Values from the calculation:
* magnetization: 0.0 μB per formula unit
* crystal system: trigonal
* calculated total energy: -5.4249 eV/atom
* N(E_F): 12.855 states/eV/cell